No. 1
A geometry-optimized La4SiPbSe2 structure, computed with GGA-PBE.

Unit cell a=7.687 b=4.422 c=7.765 alpha=90.00 beta=109.31 gamma=90.00
Space group P2/m (No. 10)
Symmetry-distinct sites (fractional):
La  0.245  0.000  0.237 (multiplicity 2)
La  0.255  0.500  0.762 (multiplicity 2)
Si  0.500  0.000  0.000 (multiplicity 1)
Pb  0.500  0.500  0.500 (multiplicity 1)
Se  0.000  0.000  0.500 (multiplicity 1)
Se  0.000  0.500  0.000 (multiplicity 1)

Output
Final energy: -5.767 eV/atom
Formation energy from raw total energies: -1.2906 eV/atom


No. 2
A geometry-optimized Ce2SbPt6 structure, computed with GGA-PBE.

Unit cell a=5.7726 b=5.7726 c=6.1432 alpha=90.00 beta=90.00 gamma=120.00
Space group P-3m1 (No. 164)
Symmetry-distinct sites (fractional):
Ce  0.3333  0.6667  0.1780 (multiplicity 2)
Sb  0.0000  0.0000  0.0000 (multiplicity 1)
Pt  0.1764  0.3528  0.6786 (multiplicity 6)

Output
Final energy: -6.663 eV/atom
Formation energy from raw total energies: -0.8590 eV/atom


No. 3
A geometry-optimized AcBeOs structure, computed with GGA-PBE.

Unit cell a=4.072 b=13.956 c=6.539 alpha=90.00 beta=90.00 gamma=90.00
Space group Amm2 (No. 38)
Symmetry-distinct sites (fractional):
Ac  0.000  0.000  0.000 (multiplicity 2)
Ac  0.000  0.200  0.442 (multiplicity 4)
Be  0.000  0.000  0.562 (multiplicity 2)
Be  0.500  0.132  0.089 (multiplicity 4)
Os  0.500  0.000  0.355 (multiplicity 2)
Os  0.500  0.101  0.732 (multiplicity 4)

Output
Final energy: -6.020 eV/atom
E_form: 334.5 meV/atom


No. 4
A geometry-optimized Te2PBr structure, computed with GGA-PBE.

Unit cell a=7.279 b=7.279 c=7.279 alpha=90.00 beta=90.00 gamma=90.00
Space group Fm-3m (No. 225)
Symmetry-distinct sites (fractional):
Te  0.250  0.250  0.250 (multiplicity 8)
P  0.000  0.000  0.000 (multiplicity 4)
Br  0.000  0.000  0.500 (multiplicity 4)

Output
Final energy: -2.762 eV/atom
Relative energy among the computed polymorphs: 11.42 kcal/mol of atoms
Formation energy from raw total energies: 0.5800 eV/atom


No. 5
A geometry-optimized TlInPN2 structure, computed with GGA-PBE.

Unit cell a=4.315 b=4.315 c=5.667 alpha=90.00 beta=90.00 gamma=90.00
Space group P4/mmm (No. 123)
Symmetry-distinct sites (fractional):
Tl  0.000  0.000  0.000 (multiplicity 1)
In  0.500  0.500  0.500 (multiplicity 1)
P  0.000  0.000  0.500 (multiplicity 1)
N  0.000  0.500  0.000 (multiplicity 2)

Output
Final energy: -3.630 eV/atom
Relative energy among the computed polymorphs: 2.76 kcal/mol of atoms
Formation energy from raw total energies: 1.8035 eV/atom


No. 6
A geometry-optimized HfSb2TeRh structure, computed with GGA-PBE.

Unit cell a=5.448 b=5.448 c=5.414 alpha=90.00 beta=90.00 gamma=90.00
Space group P4/mmm (No. 123)
Symmetry-distinct sites (fractional):
Hf  0.000  0.000  0.000 (multiplicity 1)
Sb  0.000  0.500  0.000 (multiplicity 2)
Te  0.000  0.000  0.500 (multiplicity 1)
Rh  0.500  0.500  0.500 (multiplicity 1)

Output
Final energy: -4.969 eV/atom
Relative energy among the computed polymorphs: 7.04 kcal/mol of atoms
Formation energy from raw total energies: 0.7691 eV/atom


It is found that the total magnetic moment values, taken in the order of the records, are 0.00; 1.13; 0.00; 0.00; 3.06; 0.81 μB per cell.